{"formula": "NaCa2MgH", "functional": "PBE-GGA", "state": "optimized geometry", "m_tot_mub_per_cell": 0.00, "final_energy_ev_per_atom": -2.093, "relative_energy_ev_per_atom": 0.064, "crystal_system": "tetragonal", "lattice_angstrom": [[5.205, 0.000, 0.000], [0.000, 5.205, 0.000], [0.000, 0.000, 4.800]], "species": ["Na", "Ca", "Ca", "Mg", "H"], "frac_coords": [[0.000, 0.000, 0.000], [0.000, 0.500, 0.500], [0.500, 0.000, 0.500], [0.500, 0.500, 0.000], [0.500, 0.500, 0.500]]}

{"formula": "Pm2MgReN5", "functional": "PBE-GGA", "state": "optimized geometry", "m_tot_mub_per_cell": 0.00, "raw_formation_energy_ev_per_atom": -0.741, "final_energy_ev_per_atom": -7.982, "crystal_system": "orthorhombic", "lattice_angstrom": [[1.714, -6.722, 0.000], [1.714, 6.722, 0.000], [0.000, 0.000, 10.501]], "species": ["Pm", "Pm", "Pm", "Pm", "Mg", "Mg", "Re", "Re", "N", "N", "N", "N", "N", "N", "N", "N", "N", "N"], "frac_coords": [[0.109, 0.891, 0.500], [0.158, 0.842, 0.131], [0.842, 0.158, 0.631], [0.891, 0.109, 0.000], [0.217, 0.783, 0.855], [0.783, 0.217, 0.355], [0.466, 0.534, 0.271], [0.534, 0.466, 0.771], [0.048, 0.952, 0.856], [0.280, 0.720, 0.497], [0.329, 0.671, 0.219], [0.382, 0.618, 0.835], [0.487, 0.513, 0.609], [0.513, 0.487, 0.109], [0.618, 0.382, 0.335], [0.671, 0.329, 0.719], [0.720, 0.280, 0.997], [0.952, 0.048, 0.356]]}

{"formula": "Pr8Sm2Cd", "functional": "PBE-GGA", "state": "optimized geometry", "m_tot_mub_per_cell": 0.00, "final_energy_ev_per_atom": -4.378, "relative_energy_ev_per_atom": 0.061, "formation_enthalpy_0k_ev_per_atom": 0.04, "crystal_system": "monoclinic", "lattice_angstrom": [[8.964, -2.811, 0.000], [8.964, 2.811, 0.000], [-3.133, 0.000, 7.610]], "species": ["Pr", "Pr", "Pr", "Pr", "Pr", "Pr", "Pr", "Pr", "Sm", "Sm", "Cd"], "frac_coords": [[0.017, 0.017, 0.258], [0.175, 0.175, 0.723], [0.333, 0.333, 0.581], [0.398, 0.398, 0.067], [0.602, 0.602, 0.933], [0.667, 0.667, 0.419], [0.825, 0.825, 0.277], [0.983, 0.983, 0.742], [0.192, 0.192, 0.155], [0.808, 0.808, 0.845], [0.500, 0.500, 0.500]]}